The following is a DFT calculation (GGA-PBE) of an optimized crystal structure of KAuN.

Summary:
E_tot (eV/atom): -4.405
DOS(E_F) (states/eV/f.u.): 0.29
Distance to the lowest polymorph of the same formula (kcal/mol of atoms): 0.00
Uncorrected formation energy (eV per atom): -0.17
Total magnetization (μB/cell): 0.00

Cell lengths 4.4692, 4.7696, 10.5852 Å; angles 83.76, 69.38, 89.99 degrees
Positions (direct):
1 N 0.4513 0.0583 0.5456
2 Au 0.4268 0.2295 0.0857
3 K 0.8507 0.7070 0.1781
4 Au 0.5732 0.7705 0.9143
5 N 0.5487 0.9417 0.4544
6 K 0.1493 0.2930 0.8219